# BaIn2Cl

A relaxed BaIn2Cl crystal (PBE, Alexandria).

Cell: 4.400 4.400 28.780 Å, 90.00 90.00 90.00°
Space group I-42d (No. 122)
One atom of each set of equivalent atoms:
Ba1 0.000 0.000 0.000 x4
In1 0.245 0.250 0.125 x8
Cl1 0.000 0.000 0.500 x4

Magnetization in Bohr magnetons per cell: 0.00
Excess energy over the best structure of this formula in the dataset in meV/atom: 11
DFT total energy in eV/atom: -3.157



# La2TiAu

A relaxed La2TiAu crystal (PBE, Alexandria).

Cell: 8.426 8.426 6.292 Å, 90.00 90.00 90.00°
Space group I-42d (No. 122)
One atom of each set of equivalent atoms:
La1 0.233 0.250 0.125 x8
Ti1 0.000 0.000 0.500 x4
Au1 0.000 0.000 0.000 x4

ΔH_f (0 K) in eV per atom: 0.11
Magnetization in Bohr magnetons per cell: 8.51
Excess energy over the best structure of this formula in the dataset in meV/atom: 194
DFT total energy in eV/atom: -5.145



# Na2SiBi

A relaxed Na2SiBi crystal (PBE, Alexandria).

Cell: 9.061 9.061 5.616 Å, 90.00 90.00 90.00°
Space group I-42d (No. 122)
One atom of each set of equivalent atoms:
Na1 0.196 0.250 0.125 x8
Si1 0.000 0.000 0.000 x4
Bi1 0.000 0.000 0.500 x4

Magnetization in Bohr magnetons per cell: 0.00
Excess energy over the best structure of this formula in the dataset in meV/atom: 103
DFT total energy in eV/atom: -2.744



# TbU3Se6

A relaxed TbU3Se6 crystal (PBE, Alexandria).

Cell: 11.545 4.020 11.988 Å, 90.00 108.61 90.00°
Space group P2_1/m (No. 11)
One atom of each set of equivalent atoms:
Tb1 0.044 0.250 0.193 x2
U1 0.150 0.250 0.576 x2
U2 0.318 0.750 0.002 x2
U3 0.429 0.250 0.333 x2
Se1 0.085 0.750 0.394 x2
Se2 0.115 0.250 0.966 x2
Se3 0.193 0.750 0.752 x2
Se4 0.251 0.750 0.220 x2
Se5 0.392 0.250 0.560 x2
Se6 0.493 0.250 0.123 x2

Magnetization in Bohr magnetons per cell: 17.15
DFT total energy in eV/atom: -7.202



# CoW2Au

A relaxed CoW2Au crystal (PBE, Alexandria).

Cell: 2.746 2.746 8.040 Å, 90.00 90.00 90.00°
Space group P4mm (No. 99)
One atom of each set of equivalent atoms:
Co1 0.000 0.000 0.000 x1
W1 0.000 0.000 0.481 x1
W2 0.500 0.500 0.204 x1
Au1 0.500 0.500 0.751 x1

ΔH_f (0 K) in eV per atom: 0.24
Magnetization in Bohr magnetons per cell: 0.51
Excess energy over the best structure of this formula in the dataset in meV/atom: 0
DFT total energy in eV/atom: -8.829



# KAs

A relaxed KAs crystal (PBE, Alexandria).

Cell: 10.420 10.420 6.385 Å, 90.00 90.00 90.00°
Space group P4/m (No. 83)
One atom of each set of equivalent atoms:
K1 0.089 0.335 0.000 x4
K2 0.260 0.651 0.500 x4
As1 0.054 0.398 0.500 x4
As2 0.344 0.552 0.000 x4

ΔH_f (0 K) in eV per atom: -0.26
Magnetization in Bohr magnetons per cell: 1.57
Excess energy over the best structure of this formula in the dataset in meV/atom: 202
DFT total energy in eV/atom: -3.135